(1)
Computed, not measured: crystalline ScMnI2O at its relaxed geometry at the PBE+U level of DFT.

Cell: 5.7885 5.7885 3.7596 Å, 90.00 90.00 90.00°
With the nearest neighbours (Å) after each atom.
Element x y z (fractional)
Sc 0.0000 0.0000 0.0000  8 I 3.45, 2 Sc 3.76
Mn 0.5000 0.5000 0.5000  2 O 1.88
I 0.0000 0.5000 0.5000  2 Mn 2.89
I 0.5000 0.0000 0.5000  2 Mn 2.89
O 0.5000 0.5000 0.0000  2 Mn 1.88

Output
The value obtained for the density of states at the Fermi level is 3.10 states/eV/cell. The energy relative to the lowest polymorph listed for this composition comes out at 482.4 meV/atom. Its symmetry is No. 123. The total magnetization is 1.15 μB/atom.

***

(2)
Computed, not measured: crystalline MnSeI2O at its relaxed geometry at the PBE+U level of DFT.

Cell: 5.7313 5.7313 3.5462 Å, 90.00 90.00 90.00°
With the nearest neighbours (Å) after each atom.
Element x y z (fractional)
Mn 0.0000 0.0000 0.0000  2 O 1.77
Se 0.5000 0.5000 0.5000  8 I 3.37, 2 Se 3.55
I 0.0000 0.5000 0.0000  2 Mn 2.87
I 0.5000 0.0000 0.0000  2 Mn 2.87
O 0.0000 0.0000 0.5000  2 Mn 1.77

Output
The value obtained for the density of states at the Fermi level is 6.35 states/eV/cell. The energy relative to the lowest polymorph listed for this composition comes out at 304.5 meV/atom. Its symmetry is No. 123. The total magnetization is 0.00 μB/atom.

***

(3)
Computed, not measured: crystalline MnSe2IO at its relaxed geometry at the PBE+U level of DFT.

Cell: 4.2067 4.2067 6.4578 Å, 90.00 90.00 90.00°
With the nearest neighbours (Å) after each atom.
Element x y z (fractional)
Mn 0.0000 0.0000 0.0000  4 I 2.97
Se 0.0000 0.5000 0.5000  2 O 2.10
Se 0.5000 0.0000 0.5000  2 O 2.10
I 0.5000 0.5000 0.0000  4 Mn 2.97, 2 O 3.23
O 0.5000 0.5000 0.5000  4 Se 2.10

Output
The value obtained for the density of states at the Fermi level is 3.23 states/eV/cell. Its symmetry is No. 123. The total magnetization is 1.02 μB/atom. As for the total energy: -3.970 eV/atom.

***

(4)
Computed, not measured: crystalline MnSeI2O at its relaxed geometry at the PBE+U level of DFT.

Cell: 5.9321 5.9321 3.8675 Å, 90.00 90.00 90.00°
With the nearest neighbours (Å) after each atom.
Element x y z (fractional)
Mn 0.0000 0.0000 0.0000  8 I 3.54, 2 Mn 3.87
Se 0.5000 0.5000 0.5000  2 O 1.93
I 0.0000 0.5000 0.5000  2 Se 2.97
I 0.5000 0.0000 0.5000  2 Se 2.97
O 0.5000 0.5000 0.0000  2 Se 1.93

Output
The value obtained for the density of states at the Fermi level is 2.29 states/eV/cell. The energy relative to the lowest polymorph listed for this composition comes out at 0.0 meV/atom. Its symmetry is No. 123. The total magnetization is 1.12 μB/atom.

***

(5)
Computed, not measured: crystalline MnSiIO2 at its relaxed geometry at the PBE+U level of DFT.

Cell: 3.7153 3.7153 5.8140 Å, 90.00 90.00 90.00°
With the nearest neighbours (Å) after each atom.
Element x y z (fractional)
Mn 0.0000 0.0000 0.0000  4 I 2.63
Si 0.5000 0.5000 0.5000  4 O 1.86
I 0.5000 0.5000 0.0000  4 Mn 2.63, 2 Si 2.91
O 0.0000 0.5000 0.5000  2 Si 1.86
O 0.5000 0.0000 0.5000  2 Si 1.86

Output
The value obtained for the density of states at the Fermi level is 1.32 states/eV/cell. The energy relative to the lowest polymorph listed for this composition comes out at 0.0 meV/atom. Its symmetry is No. 123. The total magnetization is 0.95 μB/atom.

***

(6)
Computed, not measured: crystalline MnSiIO2 at its relaxed geometry at the PBE+U level of DFT.

Cell: 3.9356 3.9356 5.7800 Å, 90.00 90.00 90.00°
With the nearest neighbours (Å) after each atom.
Element x y z (fractional)
Mn 0.0000 0.0000 0.0000  4 O 1.97
Si 0.5000 0.5000 0.5000  4 I 2.78
I 0.0000 0.0000 0.5000  4 Si 2.78, 2 Mn 2.89
O 0.0000 0.5000 0.0000  2 Mn 1.97
O 0.5000 0.0000 0.0000  2 Mn 1.97

Output
The value obtained for the density of states at the Fermi level is 2.33 states/eV/cell. The energy relative to the lowest polymorph listed for this composition comes out at 456.0 meV/atom. Its symmetry is No. 123. The total magnetization is 0.74 μB/atom.

***

(7)
Computed, not measured: crystalline MnSnIO6 at its relaxed geometry at the PBE+U level of DFT.

Cell: 5.3822 5.3822 9.3701 Å, 90.00 90.00 120.00°
With the nearest neighbours (Å) after each atom.
Element x y z (fractional)
Mn 0.0000 0.0000 0.0000  6 O 2.26
Mn 0.0000 0.0000 0.5000  6 O 2.26
Sn 0.3333 0.6667 0.2500  6 O 2.10
Sn 0.6667 0.3333 0.7500  6 O 2.10
I 0.3333 0.6667 0.7500  6 O 2.03
I 0.6667 0.3333 0.2500  6 O 2.03
O 0.0102 0.3560 0.6323  1 I 2.03, 1 Sn 2.10, 1 Mn 2.26
O 0.0102 0.6541 0.8677  1 I 2.03, 1 Sn 2.10, 1 Mn 2.26
O 0.3459 0.3560 0.8677  1 I 2.03, 1 Sn 2.10, 1 Mn 2.26
O 0.3459 0.9898 0.6323  1 I 2.03, 1 Sn 2.10, 1 Mn 2.26
O 0.3560 0.0102 0.1323  1 I 2.03, 1 Sn 2.10, 1 Mn 2.26
O 0.3560 0.3459 0.3677  1 I 2.03, 1 Sn 2.10, 1 Mn 2.26
O 0.6440 0.6541 0.6323  1 I 2.03, 1 Sn 2.10, 1 Mn 2.26
O 0.6440 0.9898 0.8677  1 I 2.03, 1 Sn 2.10, 1 Mn 2.26
O 0.6541 0.0102 0.3677  1 I 2.03, 1 Sn 2.10, 1 Mn 2.26
O 0.6541 0.6440 0.1323  1 I 2.03, 1 Sn 2.10, 1 Mn 2.26
O 0.9898 0.3459 0.1323  1 I 2.03, 1 Sn 2.10, 1 Mn 2.26
O 0.9898 0.6440 0.3677  1 I 2.03, 1 Sn 2.10, 1 Mn 2.26

Output
The value obtained for the density of states at the Fermi level is 5.18 states/eV/cell. Its symmetry is No. 163. The total magnetization is 0.46 μB/atom. As for the total energy: -5.707 eV/atom.

***

(8)
Computed, not measured: crystalline SrMnIO2 at its relaxed geometry at the PBE+U level of DFT.

Cell: 7.3479 7.3479 5.6206 Å, 90.00 90.00 132.50°
With the nearest neighbours (Å) after each atom.
Element x y z (fractional)
Sr 0.1028 0.8972 0.7500  4 O 2.57
Sr 0.8972 0.1028 0.2500  4 O 2.57
Mn 0.4918 0.5082 0.7500  4 O 1.93
Mn 0.5082 0.4918 0.2500  4 O 1.93
I 0.2573 0.7427 0.2500  1 Mn 3.37, 4 Sr 3.50-3.51
I 0.7427 0.2573 0.7500  1 Mn 3.37, 4 Sr 3.50-3.51
O 0.2778 0.2778 0.0000  2 Mn 1.93
O 0.2778 0.2778 0.5000  2 Mn 1.93
O 0.7222 0.7222 0.0000  2 Mn 1.93
O 0.7222 0.7222 0.5000  2 Mn 1.93

Output
The value obtained for the density of states at the Fermi level is 0.00 states/eV/cell. The energy relative to the lowest polymorph listed for this composition comes out at 0.0 meV/atom. Its symmetry is No. 63. The total magnetization is 0.80 μB/atom.

***

(9)
Computed, not measured: crystalline SrMn2IO6 at its relaxed geometry at the PBE+U level of DFT.

Cell: 5.4752 5.7069 5.8870 Å, 61.05 89.87 62.67°
With the nearest neighbours (Å) after each atom.
Element x y z (fractional)
Sr 0.0000 0.0000 0.0000  6 O 2.49-2.77
Mn 0.2726 0.4850 0.7682  3 O 2.07-2.09
Mn 0.7921 0.4316 0.3544  4 O 1.95-2.09
I 0.4698 0.0665 0.4008  4 O 1.95-2.08
O 0.1010 0.4584 0.1516  1 I 1.98, 1 Mn 2.09
O 0.1894 0.9427 0.5823  1 I 2.06, 2 Mn 2.09-2.27
O 0.4539 0.9658 0.1298  1 I 1.95
O 0.5661 0.3053 0.5893  2 Mn 1.95-2.07
O 0.6297 0.3253 0.1376  1 Mn 2.01, 1 I 2.08
O 0.9145 0.5400 0.5810  2 Mn 1.95-2.07

Output
Its symmetry is No. 1. The total magnetization is 0.90 μB/atom. As for the total energy: -6.244 eV/atom.

***

(10)
Computed, not measured: crystalline SrMnIO2 at its relaxed geometry at the PBE+U level of DFT.

Cell: 4.5818 4.5818 6.5436 Å, 90.00 90.00 90.00°
With the nearest neighbours (Å) after each atom.
Element x y z (fractional)
Sr 0.0000 0.0000 0.0000  4 O 2.29
Mn 0.5000 0.5000 0.5000  4 I 3.24
I 0.0000 0.0000 0.5000  4 Mn 3.24, 2 Sr 3.27
O 0.0000 0.5000 0.0000  2 Sr 2.29
O 0.5000 0.0000 0.0000  2 Sr 2.29

Output
The value obtained for the density of states at the Fermi level is 1.94 states/eV/cell. The energy relative to the lowest polymorph listed for this composition comes out at 1490.1 meV/atom. Its symmetry is No. 123. The total magnetization is 1.40 μB/atom.

***

(11)
Computed, not measured: crystalline SrMnIO2 at its relaxed geometry at the PBE+U level of DFT.

Cell: 4.3008 4.3008 5.4241 Å, 90.00 90.00 90.00°
With the nearest neighbours (Å) after each atom.
Element x y z (fractional)
Sr 0.0000 0.0000 0.0000  4 I 3.04
Mn 0.5000 0.5000 0.5000  4 O 2.15
I 0.5000 0.5000 0.0000  2 Mn 2.71
O 0.0000 0.5000 0.5000  2 Mn 2.15
O 0.5000 0.0000 0.5000  2 Mn 2.15

Output
The value obtained for the density of states at the Fermi level is 2.04 states/eV/cell. The energy relative to the lowest polymorph listed for this composition comes out at 861.1 meV/atom. Its symmetry is No. 123. The total magnetization is 0.80 μB/atom.

***

(12)
Computed, not measured: crystalline SrMn2IO8 at its relaxed geometry at the PBE+U level of DFT.

Cell: 4.9273 4.9319 6.9749 Å, 78.97 79.08 79.75°
With the nearest neighbours (Å) after each atom.
Element x y z (fractional)
Sr 0.0000 0.0000 0.0000  6 O 2.48-2.59
Mn 0.4540 0.4544 0.2253  5 O 1.91-2.02
Mn 0.5460 0.5456 0.7747  5 O 1.91-2.02
I 0.0000 0.0000 0.5000  6 O 1.89-1.91
O 0.1825 0.7690 0.7057  1 I 1.91, 1 Mn 2.02
O 0.2294 0.8158 0.2952  1 I 1.91, 1 Mn 2.02
O 0.2573 0.2547 0.4620  1 I 1.89, 1 Mn 1.94
O 0.3440 0.3394 0.0000  2 Mn 1.91-1.96
O 0.6560 0.6606 0.0000  2 Mn 1.91-1.96
O 0.7427 0.7453 0.5380  1 I 1.89, 1 Mn 1.94
O 0.7706 0.1842 0.7048  1 I 1.91, 1 Mn 2.02
O 0.8175 0.2310 0.2943  1 I 1.91, 1 Mn 2.02

Output
The value obtained for the density of states at the Fermi level is 6.11 states/eV/cell. Its symmetry is No. 2. The total magnetization is 0.58 μB/atom. As for the total energy: -5.965 eV/atom.

***

(13)
Computed, not measured: crystalline SrMnIO6 at its relaxed geometry at the PBE+U level of DFT.

Cell: 5.1763 5.1763 5.4408 Å, 90.00 90.00 120.00°
With the nearest neighbours (Å) after each atom.
Element x y z (fractional)
Sr 0.0000 0.0000 0.0000  6 O 2.56
Mn 0.3333 0.6667 0.5000  6 O 1.97
I 0.6667 0.3333 0.5000  6 O 1.93
O 0.3862 0.0069 0.7013  1 I 1.93, 1 Mn 1.97
O 0.3862 0.3793 0.2987  1 I 1.93, 1 Mn 1.97
O 0.6207 0.0069 0.2987  1 I 1.93, 1 Mn 1.97
O 0.6207 0.6138 0.7013  1 I 1.93, 1 Mn 1.97
O 0.9931 0.3793 0.7013  1 I 1.93, 1 Mn 1.97
O 0.9931 0.6138 0.2987  1 I 1.93, 1 Mn 1.97

Output
Its symmetry is No. 149. The total magnetization is 0.22 μB/atom. As for the total energy: -5.784 eV/atom.

***

(14)
Computed, not measured: crystalline MnTcIO2 at its relaxed geometry at the PBE+U level of DFT.

Cell: 3.8975 3.8975 6.0170 Å, 90.00 90.00 90.00°
With the nearest neighbours (Å) after each atom.
Element x y z (fractional)
Mn 0.0000 0.0000 0.0000  4 O 1.95
Tc 0.5000 0.5000 0.5000  4 I 2.76
I 0.0000 0.0000 0.5000  4 Tc 2.76, 2 Mn 3.01
O 0.0000 0.5000 0.0000  2 Mn 1.95
O 0.5000 0.0000 0.0000  2 Mn 1.95

Output
The value obtained for the density of states at the Fermi level is 2.57 states/eV/cell. The energy relative to the lowest polymorph listed for this composition comes out at 559.1 meV/atom. Its symmetry is No. 123. The total magnetization is 1.68 μB/atom.

***

(15)
Computed, not measured: crystalline MnTcIO2 at its relaxed geometry at the PBE+U level of DFT.

Cell: 3.8833 3.8833 6.2882 Å, 90.00 90.00 90.00°
With the nearest neighbours (Å) after each atom.
Element x y z (fractional)
Mn 0.0000 0.0000 0.0000  4 I 2.75
Tc 0.5000 0.5000 0.5000  4 O 1.94
I 0.5000 0.5000 0.0000  4 Mn 2.75
O 0.0000 0.5000 0.5000  2 Tc 1.94
O 0.5000 0.0000 0.5000  2 Tc 1.94

Output
The value obtained for the density of states at the Fermi level is 2.10 states/eV/cell. The energy relative to the lowest polymorph listed for this composition comes out at 0.0 meV/atom. Its symmetry is No. 123. The total magnetization is 0.96 μB/atom.

***

(16)
Computed, not measured: crystalline MnTeIO2 at its relaxed geometry at the PBE+U level of DFT.

Cell: 4.0718 4.0718 6.9692 Å, 90.00 90.00 90.00°
With the nearest neighbours (Å) after each atom.
Element x y z (fractional)
Mn 0.0000 0.0000 0.0000  4 O 2.04
Te 0.5000 0.5000 0.5000  4 I 2.88
I 0.0000 0.0000 0.5000  4 Te 2.88
O 0.0000 0.5000 0.0000  2 Mn 2.04
O 0.5000 0.0000 0.0000  2 Mn 2.04

Output
The value obtained for the density of states at the Fermi level is 4.12 states/eV/cell. The energy relative to the lowest polymorph listed for this composition comes out at 99.9 meV/atom. Its symmetry is No. 123. The total magnetization is 0.63 μB/atom.

***

(17)
Computed, not measured: crystalline MnTeIO2 at its relaxed geometry at the PBE+U level of DFT.

Cell: 4.1440 4.1440 7.3666 Å, 90.00 90.00 90.00°
With the nearest neighbours (Å) after each atom.
Element x y z (fractional)
Mn 0.0000 0.0000 0.0000  4 I 2.93
Te 0.5000 0.5000 0.5000  4 O 2.07
I 0.5000 0.5000 0.0000  4 Mn 2.93
O 0.0000 0.5000 0.5000  2 Te 2.07
O 0.5000 0.0000 0.5000  2 Te 2.07

Output
The value obtained for the density of states at the Fermi level is 2.17 states/eV/cell. The energy relative to the lowest polymorph listed for this composition comes out at 0.0 meV/atom. Its symmetry is No. 123. The total magnetization is 1.02 μB/atom.

***

(18)
Computed, not measured: crystalline TiMnI2O at its relaxed geometry at the PBE+U level of DFT.

Cell: 5.8134 5.8134 3.7765 Å, 90.00 90.00 90.00°
With the nearest neighbours (Å) after each atom.
Element x y z (fractional)
Ti 0.0000 0.0000 0.0000  2 O 1.89
Mn 0.5000 0.5000 0.5000  8 I 3.47, 2 Mn 3.78
I 0.0000 0.5000 0.0000  2 Ti 2.91
I 0.5000 0.0000 0.0000  2 Ti 2.91
O 0.0000 0.0000 0.5000  2 Ti 1.89

Output
The value obtained for the density of states at the Fermi level is 1.25 states/eV/cell. The energy relative to the lowest polymorph listed for this composition comes out at 0.0 meV/atom. Its symmetry is No. 123. The total magnetization is 1.31 μB/atom.

***

(19)
Computed, not measured: crystalline TiMnI2O at its relaxed geometry at the PBE+U level of DFT.

Cell: 5.7189 5.7189 3.7285 Å, 90.00 90.00 90.00°
With the nearest neighbours (Å) after each atom.
Element x y z (fractional)
Ti 0.0000 0.0000 0.0000  8 I 3.41, 2 Ti 3.73
Mn 0.5000 0.5000 0.5000  2 O 1.86
I 0.0000 0.5000 0.5000  2 Mn 2.86
I 0.5000 0.0000 0.5000  2 Mn 2.86
O 0.5000 0.5000 0.0000  2 Mn 1.86

Output
The value obtained for the density of states at the Fermi level is 3.42 states/eV/cell. The energy relative to the lowest polymorph listed for this composition comes out at 553.7 meV/atom. Its symmetry is No. 123. The total magnetization is 0.42 μB/atom.

***

(20)
Computed, not measured: crystalline Ti2Mn2I2O5 at its relaxed geometry at the PBE+U level of DFT.

Cell: 14.5646 14.5646 14.5646 Å, 165.09 165.09 21.15°
With the nearest neighbours (Å) after each atom.
Element x y z (fractional)
Ti 0.0632 0.0632 0.0000  5 O 1.81-1.96
Ti 0.9368 0.9368 0.0000  5 O 1.81-1.96
Mn 0.3743 0.3743 0.0000  4 O 2.28
Mn 0.6257 0.6257 0.0000  4 O 2.28
I 0.1833 0.1833 0.0000  4 Mn 3.14, 1 Ti 3.44, 4 O 3.49
I 0.8167 0.8167 0.0000  4 Mn 3.14, 1 Ti 3.44, 4 O 3.49
O 0.0000 0.0000 0.0000  2 Ti 1.81
O 0.0810 0.5810 0.5000  2 Ti 1.96
O 0.4190 0.9190 0.5000  2 Ti 1.96
O 0.5810 0.0810 0.5000  2 Ti 1.96
O 0.9190 0.4190 0.5000  2 Ti 1.96

Output
The value obtained for the density of states at the Fermi level is 0.21 states/eV/cell. Its symmetry is No. 139. The total magnetization is 0.91 μB/atom. As for the total energy: -7.400 eV/atom.